# AlZnGa2 | OQMD | PBE | optimized geometry
data_AlZnGa2
_symmetry_space_group_name_H-M 'P 1'
_symmetry_Int_Tables_number 1
_cell_length_a 4.628
_cell_length_b 4.628
_cell_length_c 4.628
_cell_angle_alpha 60.00
_cell_angle_beta 60.00
_cell_angle_gamma 60.00
loop_
_symmetry_equiv_pos_as_xyz
'x,y,z'
loop_
_atom_site_label
_atom_site_fract_x
_atom_site_fract_y
_atom_site_fract_z
Al1 0.500 0.500 0.500
Zn1 0.250 0.250 0.250
Ga1 0.750 0.750 0.750
Ga2 0.000 0.000 0.000
# Space-group type: F-43m (216)
# Total energy: -0.098 hartree per atom

---

# Al2Zn2Ga | OQMD | PBE | optimized geometry
data_Al2Zn2Ga
_symmetry_space_group_name_H-M 'P 1'
_symmetry_Int_Tables_number 1
_cell_length_a 6.627
_cell_length_b 6.627
_cell_length_c 6.627
_cell_angle_alpha 146.34
_cell_angle_beta 146.34
_cell_angle_gamma 48.34
loop_
_symmetry_equiv_pos_as_xyz
'x,y,z'
loop_
_atom_site_label
_atom_site_fract_x
_atom_site_fract_y
_atom_site_fract_z
Ga1 0.000 0.000 0.000
Zn1 0.750 0.250 0.500
Al1 0.396 0.396 0.000
Zn2 0.250 0.750 0.500
Al2 0.604 0.604 0.000
# Space-group type: I4/mmm (139)
# Total energy: -0.091 hartree per atom

---

# Zr4AlGa5 | OQMD | PBE | optimized geometry
data_Zr4AlGa5
_symmetry_space_group_name_H-M 'P 1'
_symmetry_Int_Tables_number 1
_cell_length_a 6.660
_cell_length_b 6.660
_cell_length_c 4.182
_cell_angle_alpha 90.00
_cell_angle_beta 90.00
_cell_angle_gamma 90.00
loop_
_symmetry_equiv_pos_as_xyz
'x,y,z'
loop_
_atom_site_label
_atom_site_fract_x
_atom_site_fract_y
_atom_site_fract_z
Ga1 0.105 0.679 0.000
Zr1 0.806 0.633 0.500
Zr2 0.367 0.806 0.500
Ga2 0.895 0.321 0.000
Ga3 0.000 0.000 0.500
Al1 0.500 0.500 0.000
Zr3 0.633 0.194 0.500
Ga4 0.679 0.895 0.000
Ga5 0.321 0.105 0.000
Zr4 0.194 0.367 0.500
# Space-group type: P4/m (83)
# Total energy: -0.215 hartree per atom

---

# GdAl | OQMD | PBE | optimized geometry
data_GdAl
_symmetry_space_group_name_H-M 'P 1'
_symmetry_Int_Tables_number 1
_cell_length_a 3.459
_cell_length_b 3.459
_cell_length_c 4.993
_cell_angle_alpha 90.00
_cell_angle_beta 90.00
_cell_angle_gamma 120.00
loop_
_symmetry_equiv_pos_as_xyz
'x,y,z'
loop_
_atom_site_label
_atom_site_fract_x
_atom_site_fract_y
_atom_site_fract_z
Gd1 0.333 0.667 0.250
Al1 0.667 0.333 0.750
# Space-group type: P-6m2 (187)
# Total energy: -0.157 hartree per atom

---

# GdAl | OQMD | PBE | optimized geometry
data_GdAl
_symmetry_space_group_name_H-M 'P 1'
_symmetry_Int_Tables_number 1
_cell_length_a 5.117
_cell_length_b 3.612
_cell_length_c 5.162
_cell_angle_alpha 90.00
_cell_angle_beta 90.00
_cell_angle_gamma 90.00
loop_
_symmetry_equiv_pos_as_xyz
'x,y,z'
loop_
_atom_site_label
_atom_site_fract_x
_atom_site_fract_y
_atom_site_fract_z
Al1 0.750 0.000 0.779
Al2 0.250 0.000 0.221
Gd1 0.750 0.500 0.270
Gd2 0.250 0.500 0.730
# Space-group type: Pmma (51)
# Total energy: -0.169 hartree per atom

---

# GdAl | OQMD | PBE | optimized geometry
data_GdAl
_symmetry_space_group_name_H-M 'P 1'
_symmetry_Int_Tables_number 1
_cell_length_a 4.289
_cell_length_b 4.289
_cell_length_c 4.289
_cell_angle_alpha 60.00
_cell_angle_beta 60.00
_cell_angle_gamma 60.00
loop_
_symmetry_equiv_pos_as_xyz
'x,y,z'
loop_
_atom_site_label
_atom_site_fract_x
_atom_site_fract_y
_atom_site_fract_z
Al1 0.000 0.000 0.000
Gd1 0.500 0.500 0.500
# Space-group type: Fm-3m (225)
# Total energy: -0.152 hartree per atom

---

# Gd3Al | OQMD | PBE | optimized geometry
data_Gd3Al
_symmetry_space_group_name_H-M 'P 1'
_symmetry_Int_Tables_number 1
_cell_length_a 5.943
_cell_length_b 5.943
_cell_length_c 5.943
_cell_angle_alpha 133.11
_cell_angle_beta 133.11
_cell_angle_gamma 68.49
loop_
_symmetry_equiv_pos_as_xyz
'x,y,z'
loop_
_atom_site_label
_atom_site_fract_x
_atom_site_fract_y
_atom_site_fract_z
Gd1 0.250 0.750 0.500
Gd2 0.750 0.250 0.500
Gd3 0.500 0.500 0.000
Al1 0.000 0.000 0.000
# Space-group type: I4/mmm (139)
# Total energy: -0.168 hartree per atom

---

# Gd3Al | OQMD | PBE | optimized geometry
data_Gd3Al
_symmetry_space_group_name_H-M 'P 1'
_symmetry_Int_Tables_number 1
_cell_length_a 6.906
_cell_length_b 6.906
_cell_length_c 5.335
_cell_angle_alpha 90.00
_cell_angle_beta 90.00
_cell_angle_gamma 120.00
loop_
_symmetry_equiv_pos_as_xyz
'x,y,z'
loop_
_atom_site_label
_atom_site_fract_x
_atom_site_fract_y
_atom_site_fract_z
Gd1 0.176 0.824 0.250
Gd2 0.352 0.176 0.750
Gd3 0.824 0.176 0.750
Gd4 0.824 0.648 0.750
Gd5 0.648 0.824 0.250
Al1 0.333 0.667 0.750
Al2 0.667 0.333 0.250
Gd6 0.176 0.352 0.250
# Space-group type: P6_3/mmc (194)
# Total energy: -0.170 hartree per atom

---

# Gd3Al | OQMD | PBE | optimized geometry
data_Gd3Al
_symmetry_space_group_name_H-M 'P 1'
_symmetry_Int_Tables_number 1
_cell_length_a 5.386
_cell_length_b 5.386
_cell_length_c 5.386
_cell_angle_alpha 60.00
_cell_angle_beta 60.00
_cell_angle_gamma 60.00
loop_
_symmetry_equiv_pos_as_xyz
'x,y,z'
loop_
_atom_site_label
_atom_site_fract_x
_atom_site_fract_y
_atom_site_fract_z
Gd1 0.250 0.250 0.250
Al1 0.750 0.750 0.750
Gd2 0.000 0.000 0.000
Gd3 0.500 0.500 0.500
# Space-group type: Fm-3m (225)
# Total energy: -0.164 hartree per atom

---

# Gd2Al | OQMD | PBE | optimized geometry
data_Gd2Al
_symmetry_space_group_name_H-M 'P 1'
_symmetry_Int_Tables_number 1
_cell_length_a 6.202
_cell_length_b 6.202
_cell_length_c 6.202
_cell_angle_alpha 60.00
_cell_angle_beta 60.00
_cell_angle_gamma 60.00
loop_
_symmetry_equiv_pos_as_xyz
'x,y,z'
loop_
_atom_site_label
_atom_site_fract_x
_atom_site_fract_y
_atom_site_fract_z
Gd1 0.125 0.625 0.625
Al1 0.250 0.250 0.250
Al2 0.000 0.000 0.000
Gd2 0.625 0.125 0.625
Gd3 0.625 0.625 0.625
Gd4 0.625 0.625 0.125
# Space-group type: Fd-3m (227)
# Total energy: -0.147 hartree per atom

---

# Gd3Al | OQMD | PBE | optimized geometry
data_Gd3Al
_symmetry_space_group_name_H-M 'P 1'
_symmetry_Int_Tables_number 1
_cell_length_a 4.797
_cell_length_b 4.797
_cell_length_c 4.797
_cell_angle_alpha 90.00
_cell_angle_beta 90.00
_cell_angle_gamma 90.00
loop_
_symmetry_equiv_pos_as_xyz
'x,y,z'
loop_
_atom_site_label
_atom_site_fract_x
_atom_site_fract_y
_atom_site_fract_z
Gd1 0.000 0.500 0.500
Al1 0.000 0.000 0.000
Gd2 0.500 0.500 0.000
Gd3 0.500 0.000 0.500
# Space-group type: Pm-3m (221)
# Total energy: -0.169 hartree per atom

---

# GdAl | OQMD | PBE | optimized geometry
data_GdAl
_symmetry_space_group_name_H-M 'P 1'
_symmetry_Int_Tables_number 1
_cell_length_a 5.883
_cell_length_b 11.536
_cell_length_c 5.660
_cell_angle_alpha 90.00
_cell_angle_beta 90.00
_cell_angle_gamma 90.00
loop_
_symmetry_equiv_pos_as_xyz
'x,y,z'
loop_
_atom_site_label
_atom_site_fract_x
_atom_site_fract_y
_atom_site_fract_z
Gd1 0.837 0.514 0.250
Gd2 0.403 0.333 0.250
Al1 0.932 0.250 0.500
Gd3 0.597 0.833 0.250
Gd4 0.163 0.014 0.250
Gd5 0.163 0.486 0.750
Gd6 0.403 0.167 0.750
Al2 0.932 0.250 0.000
Al3 0.337 0.600 0.250
Al4 0.068 0.750 0.500
Al5 0.337 0.900 0.750
Gd7 0.837 0.986 0.750
Al6 0.663 0.400 0.750
Gd8 0.597 0.667 0.750
Al7 0.068 0.750 0.000
Al8 0.663 0.100 0.250
# Space-group type: Pbcm (57)
# Total energy: -0.170 hartree per atom

---

# GdAl | OQMD | PBE | optimized geometry
data_GdAl
_symmetry_space_group_name_H-M 'P 1'
_symmetry_Int_Tables_number 1
_cell_length_a 3.634
_cell_length_b 3.634
_cell_length_c 3.634
_cell_angle_alpha 90.00
_cell_angle_beta 90.00
_cell_angle_gamma 90.00
loop_
_symmetry_equiv_pos_as_xyz
'x,y,z'
loop_
_atom_site_label
_atom_site_fract_x
_atom_site_fract_y
_atom_site_fract_z
Gd1 0.500 0.500 0.500
Al1 0.000 0.000 0.000
# Space-group type: Pm-3m (221)
# Total energy: -0.169 hartree per atom

---

# GdAl | OQMD | PBE | optimized geometry
data_GdAl
_symmetry_space_group_name_H-M 'P 1'
_symmetry_Int_Tables_number 1
_cell_length_a 5.279
_cell_length_b 5.279
_cell_length_c 6.008
_cell_angle_alpha 90.00
_cell_angle_beta 90.00
_cell_angle_gamma 120.00
loop_
_symmetry_equiv_pos_as_xyz
'x,y,z'
loop_
_atom_site_label
_atom_site_fract_x
_atom_site_fract_y
_atom_site_fract_z
Al1 0.333 0.667 0.437
Gd1 0.000 0.000 0.438
Al2 0.000 0.000 0.937
Gd2 0.333 0.667 0.938
# Space-group type: P6_3/mmc (194)
# Total energy: -0.133 hartree per atom

---

# GdAl | OQMD | PBE | optimized geometry
data_GdAl
_symmetry_space_group_name_H-M 'P 1'
_symmetry_Int_Tables_number 1
_cell_length_a 4.803
_cell_length_b 4.803
_cell_length_c 4.803
_cell_angle_alpha 60.00
_cell_angle_beta 60.00
_cell_angle_gamma 60.00
loop_
_symmetry_equiv_pos_as_xyz
'x,y,z'
loop_
_atom_site_label
_atom_site_fract_x
_atom_site_fract_y
_atom_site_fract_z
Gd1 0.250 0.250 0.250
Al1 0.000 0.000 0.000
# Space-group type: F-43m (216)
# Total energy: -0.120 hartree per atom

---

# Gd2Al | OQMD | PBE | optimized geometry
data_Gd2Al
_symmetry_space_group_name_H-M 'P 1'
_symmetry_Int_Tables_number 1
_cell_length_a 9.105
_cell_length_b 9.105
_cell_length_c 9.105
_cell_angle_alpha 60.00
_cell_angle_beta 60.00
_cell_angle_gamma 60.00
loop_
_symmetry_equiv_pos_as_xyz
'x,y,z'
loop_
_atom_site_label
_atom_site_fract_x
_atom_site_fract_y
_atom_site_fract_z
Gd1 0.375 0.375 0.875
Al1 0.250 0.250 0.250
Gd2 0.375 0.875 0.375
Al2 0.500 0.500 0.500
Gd3 0.375 0.375 0.375
Gd4 0.875 0.375 0.375
# Space-group type: Fd-3m (227)
# Total energy: -0.102 hartree per atom

---

# GdAl2 | OQMD | PBE | optimized geometry
data_GdAl2
_symmetry_space_group_name_H-M 'P 1'
_symmetry_Int_Tables_number 1
_cell_length_a 5.597
_cell_length_b 5.597
_cell_length_c 5.597
_cell_angle_alpha 60.00
_cell_angle_beta 60.00
_cell_angle_gamma 60.00
loop_
_symmetry_equiv_pos_as_xyz
'x,y,z'
loop_
_atom_site_label
_atom_site_fract_x
_atom_site_fract_y
_atom_site_fract_z
Al1 0.625 0.125 0.625
Gd1 0.000 0.000 0.000
Gd2 0.250 0.250 0.250
Al2 0.625 0.625 0.625
Al3 0.625 0.625 0.125
Al4 0.125 0.625 0.625
# Space-group type: Fd-3m (227)
# Total energy: -0.168 hartree per atom

---

# GdAl2 | OQMD | PBE | optimized geometry
data_GdAl2
_symmetry_space_group_name_H-M 'P 1'
_symmetry_Int_Tables_number 1
_cell_length_a 5.787
_cell_length_b 5.787
_cell_length_c 5.609
_cell_angle_alpha 90.00
_cell_angle_beta 90.00
_cell_angle_gamma 90.00
loop_
_symmetry_equiv_pos_as_xyz
'x,y,z'
loop_
_atom_site_label
_atom_site_fract_x
_atom_site_fract_y
_atom_site_fract_z
Al1 0.151 0.849 0.500
Gd1 0.500 0.500 0.500
Al2 0.349 0.349 0.000
Gd2 0.000 0.000 0.000
Al3 0.651 0.651 0.000
Al4 0.849 0.151 0.500
# Space-group type: P4_2/mnm (136)
# Total energy: -0.129 hartree per atom

---

# GdAl | OQMD | PBE | optimized geometry
data_GdAl
_symmetry_space_group_name_H-M 'P 1'
_symmetry_Int_Tables_number 1
_cell_length_a 5.880
_cell_length_b 5.880
_cell_length_c 5.630
_cell_angle_alpha 90.00
_cell_angle_beta 90.00
_cell_angle_gamma 79.45
loop_
_symmetry_equiv_pos_as_xyz
'x,y,z'
loop_
_atom_site_label
_atom_site_fract_x
_atom_site_fract_y
_atom_site_fract_z
Al1 0.000 0.000 0.500
Al2 0.000 0.000 0.000
Gd1 0.162 0.473 0.750
Gd2 0.473 0.162 0.250
Al3 0.691 0.309 0.750
Al4 0.309 0.691 0.250
Gd3 0.527 0.838 0.750
Gd4 0.838 0.527 0.250
# Space-group type: Cmcm (63)
# Total energy: -0.169 hartree per atom

---

# GdAlGe | OQMD | PBE | optimized geometry
data_GdAlGe
_symmetry_space_group_name_H-M 'P 1'
_symmetry_Int_Tables_number 1
_cell_length_a 5.652
_cell_length_b 5.652
_cell_length_c 5.818
_cell_angle_alpha 90.00
_cell_angle_beta 90.00
_cell_angle_gamma 137.71
loop_
_symmetry_equiv_pos_as_xyz
'x,y,z'
loop_
_atom_site_label
_atom_site_fract_x
_atom_site_fract_y
_atom_site_fract_z
Gd1 0.690 0.310 0.250
Ge1 0.396 0.604 0.250
Al1 0.000 0.000 0.000
Al2 0.000 0.000 0.500
Ge2 0.604 0.396 0.750
Gd2 0.310 0.690 0.750
# Space-group type: Cmcm (63)
# Total energy: -0.184 hartree per atom

---

Volume (computed, Å³/atom): 17.5, 17.8, 18.6, 25.9, 23.9, 27.9, 27.5, 27.5, 27.6, 28.1, 27.6, 24.0, 24.0, 36.2, 39.2, 89.0, 20.7, 31.3, 23.9, 20.8